Material: Cd2InPdI
Method: DFT, GGA-PBE
State: relaxed

Properties
Space group: P4/mmm (123)
Energy: -12.32 eV/f.u.

Unit cell a=5.337 b=5.337 c=5.283 alpha=90.00 beta=90.00 gamma=90.00
Atoms (fractional coordinates):
I: 0.500 0.500 0.500
Cd: 0.000 0.500 0.000
Cd: 0.500 0.000 0.000
Pd: 0.000 0.000 0.000
In: 0.000 0.000 0.500



Material: Rb2CdInI
Method: DFT, GGA-PBE
State: relaxed

Properties
Space group: P4/mmm (123)
Energy: -7.67 eV/f.u.

Unit cell a=6.809 b=7.009 c=6.809 alpha=90.00 beta=90.00 gamma=90.00
Each line ends with the local moment (μB).
Atoms (fractional coordinates):
I: 0.000 0.000 0.000  0.01
Cd: 0.000 0.500 0.000  0.01
Rb: 0.000 0.000 0.500  0.01
Rb: 0.500 0.000 0.000  0.01
In: 0.500 0.500 0.500  0.23



Material: RbCdIn2I8
Method: DFT, GGA-PBE
State: relaxed

Properties
Space group: R32 (155)
Energy: -26.82 eV/f.u.

Unit cell a=7.617 b=7.617 c=12.414 alpha=72.13 beta=72.13 gamma=60.00
Atoms (fractional coordinates):
Rb: 0.000 0.000 0.000
Cd: 0.500 0.500 0.500
In: 0.746 0.746 0.762
In: 0.254 0.254 0.238
I: 0.667 0.667 0.000
I: 0.333 0.333 0.000
I: 0.578 0.223 0.314
I: 0.777 0.422 0.686
I: 0.115 0.777 0.686
I: 0.223 0.885 0.314
I: 0.885 0.578 0.314
I: 0.422 0.115 0.686



Material: Rb3CdIn3I8
Method: DFT, GGA-PBE
State: relaxed

Properties
Space group: R-3m (166)
Energy: -37.63 eV/f.u.

Unit cell a=10.297 b=10.297 c=10.038 alpha=120.81 beta=90.00 gamma=120.00
Atoms (fractional coordinates):
Rb: 0.500 0.000 0.500
Rb: 0.500 0.500 0.500
Rb: 0.000 0.500 0.500
Cd: 0.000 0.000 0.500
In: 0.000 0.000 0.000
In: 0.000 0.500 0.000
In: 0.500 0.500 0.000
I: 0.245 0.491 0.236
I: 0.755 0.509 0.764
I: 0.786 0.572 0.277
I: 0.214 0.428 0.723
I: 0.786 0.991 0.277
I: 0.214 0.009 0.723
I: 0.204 0.991 0.277
I: 0.796 0.009 0.723



Material: Rb2CdInI5
Method: DFT, GGA-PBE
State: relaxed

Properties
Space group: Cmc2_1 (36)
Energy: -21.57 eV/f.u.

Unit cell a=4.762 b=10.669 c=17.112 alpha=90.00 beta=90.00 gamma=102.89
Atoms (fractional coordinates):
Rb: 0.857 0.713 0.793
Rb: 0.079 0.158 0.647
Rb: 0.143 0.287 0.293
Rb: 0.921 0.842 0.147
Cd: 0.769 0.537 0.533
Cd: 0.231 0.463 0.033
In: 0.546 0.091 0.950
In: 0.454 0.909 0.450
I: 0.366 0.733 0.988
I: 0.703 0.406 0.915
I: 0.493 0.986 0.766
I: 0.252 0.505 0.656
I: 0.906 0.811 0.576
I: 0.634 0.267 0.488
I: 0.297 0.594 0.415
I: 0.507 0.014 0.266
I: 0.748 0.495 0.156
I: 0.094 0.189 0.076



Material: RbCdInI4
Method: DFT, GGA-PBE
State: relaxed

Properties
Space group: P2_1/m (11)
Energy: -16.48 eV/f.u.

Unit cell a=8.294 b=8.383 c=9.750 alpha=90.00 beta=108.01 gamma=90.00
Atoms (fractional coordinates):
Rb: 0.779 0.750 0.443
Rb: 0.221 0.250 0.557
Cd: 0.243 0.750 0.294
Cd: 0.757 0.250 0.706
In: 0.765 0.750 0.943
In: 0.235 0.250 0.057
I: 0.999 0.505 0.774
I: 0.001 0.005 0.226
I: 0.001 0.495 0.226
I: 0.999 0.995 0.774
I: 0.434 0.750 0.103
I: 0.566 0.250 0.897
I: 0.417 0.750 0.591
I: 0.583 0.250 0.409



Material: CdInSb2I
Method: DFT, GGA-PBE
State: relaxed

Properties
E above lowest polymorph: 0.0 meV per atom
Space group: P4/mmm (123)
Energy: -11.38 eV/f.u.

Unit cell a=5.539 b=5.539 c=6.290 alpha=90.00 beta=90.00 gamma=90.00
Each line ends with the local moment (μB).
Atoms (fractional coordinates):
I: 0.000 0.000 0.500  0.08
Sb: 0.000 0.500 0.000  0.19
Sb: 0.500 0.000 0.000  0.19
Cd: 0.000 0.000 0.000  0.00
In: 0.500 0.500 0.500  0.00



Material: CdInSeI
Method: DFT, GGA-PBE
State: relaxed

Properties
Space group: P3m1 (156)
Energy: -10.52 eV/f.u.

Unit cell a=4.182 b=4.182 c=9.454 alpha=90.04 beta=90.04 gamma=60.02
Atoms (fractional coordinates):
Cd: 0.239 0.239 0.479
In: 0.239 0.239 0.188
Se: 0.572 0.572 0.056
I: 0.906 0.906 0.661



Material: CdInSn2I
Method: DFT, GGA-PBE
State: relaxed

Properties
Space group: P4/mmm (123)
Energy: -9.26 eV/f.u.

Unit cell a=6.345 b=6.903 c=6.345 alpha=90.00 beta=90.00 gamma=90.00
Atoms (fractional coordinates):
I: 0.000 0.000 0.000
Cd: 0.000 0.500 0.000
Sn: 0.000 0.000 0.500
Sn: 0.500 0.000 0.000
In: 0.500 0.500 0.500



Material: SrCdIn2I6
Method: DFT, GGA-PBE
State: relaxed

Properties
Space group: R3 (146)
Energy: -25.57 eV/f.u.

Unit cell a=8.464 b=8.465 c=8.707 alpha=60.91 beta=60.92 gamma=59.99
Atoms (fractional coordinates):
Sr: 0.821 0.821 0.538
Cd: 0.321 0.321 0.038
In: 0.523 0.523 0.432
In: 0.023 0.023 0.932
I: 0.577 0.193 0.254
I: 0.193 0.976 0.254
I: 0.976 0.577 0.254
I: 0.451 0.674 0.771
I: 0.674 0.104 0.771
I: 0.104 0.451 0.771



Material: SrCdInI5
Method: DFT, GGA-PBE
State: relaxed

Properties
Space group: C2/c (15)
Energy: -20.66 eV/f.u.

Unit cell a=8.683 b=8.683 c=11.696 alpha=104.59 beta=104.59 gamma=104.94
Atoms (fractional coordinates):
Sr: 0.000 0.000 0.500
Sr: 0.000 0.000 0.000
Cd: 0.679 0.321 0.250
Cd: 0.321 0.679 0.750
In: 0.347 0.653 0.250
In: 0.653 0.347 0.750
I: 0.100 0.900 0.250
I: 0.900 0.100 0.750
I: 0.931 0.349 0.135
I: 0.069 0.651 0.865
I: 0.651 0.069 0.365
I: 0.349 0.931 0.635
I: 0.728 0.618 0.447
I: 0.272 0.382 0.553
I: 0.382 0.272 0.053
I: 0.618 0.728 0.947



Material: CdInTeI2
Method: DFT, GGA-PBE
State: relaxed

Properties
E above lowest polymorph: 0.0 meV per atom
Space group: P4/mmm (123)
Energy: -10.41 eV/f.u.

Unit cell a=5.953 b=5.953 c=5.672 alpha=90.00 beta=90.00 gamma=90.00
Atoms (fractional coordinates):
I: 0.000 0.500 0.000
I: 0.500 0.000 0.000
Cd: 0.000 0.000 0.000
Te: 0.000 0.000 0.500
In: 0.500 0.500 0.500



Number 1: calculated density 6.32 g cm⁻³. Number 2: calculated density 2.68 g cm⁻³. Number 3: calculated density 4.11 g cm⁻³. Number 4: calculated density 3.86 g cm⁻³. Number 5: calculated density 4.05 g cm⁻³. Number 6: calculated density 4.23 g cm⁻³. Number 7: calculated density 5.14 g cm⁻³. Number 8: calculated density 5.02 g cm⁻³. Number 9: calculated density 3.53 g cm⁻³. Number 10: calculated density 4.42 g cm⁻³. Number 11: calculated density 4.06 g cm⁻³. Number 12: calculated density 5.03 g cm⁻³.